(1)
First-principles (PBE-GGA) data for Co2Tc2Ru after structural relaxation, as listed in Alexandria via LeMat-Bulk.

Properties
Its final energy is -8.6851 eV per atom. Its formation energy is 158.8 meV per atom. Its total magnetization is 0.06 μB/atom.

Lattice parameters (Å, degrees): 6.8780 6.8780 2.7308 90.00 90.00 90.00
Last column: nearest neighbours and their distance in Å.
Positions (direct):
1 Co 0.3791 0.8791 0.0000  1 Co 2.35, 6 Tc 2.40-2.48
2 Co 0.8791 0.6209 0.0000  1 Co 2.35, 6 Tc 2.40-2.48
3 Co 0.6209 0.1209 0.0000  1 Co 2.35, 6 Tc 2.40-2.48
4 Co 0.1209 0.3791 0.0000  1 Co 2.35, 6 Tc 2.40-2.48
5 Ru 0.0000 0.0000 0.0000  2 Ru 2.73, 4 Co 2.74, 8 Tc 2.88
6 Ru 0.5000 0.5000 0.0000  2 Ru 2.73, 4 Co 2.74, 8 Tc 2.88
7 Tc 0.6758 0.8242 0.5000  6 Co 2.40-2.48
8 Tc 0.3242 0.1758 0.5000  6 Co 2.40-2.48
9 Tc 0.8242 0.3242 0.5000  6 Co 2.40-2.48
10 Tc 0.1758 0.6758 0.5000  6 Co 2.40-2.48


(2)
First-principles (PBE-GGA) data for Ag2SbMo after structural relaxation, as listed in Alexandria via LeMat-Bulk.

Properties
Its final energy is -4.6846 eV per atom. For the uncorrected formation energy, the calculation gives 479 meV/atom. Its total magnetization is 0.61 μB/atom.

Lattice parameters (Å, degrees): 5.5578 5.5578 5.5578 137.65 137.65 61.44
Last column: nearest neighbours and their distance in Å.
Positions (direct):
1 Sb 0.7500 0.2500 0.5000  4 Mo 2.84, 8 Ag 3.12
2 Ag 0.5000 0.5000 0.0000  4 Ag 2.84, 4 Sb 3.12, 4 Mo 3.12
3 Ag 0.0000 0.0000 0.0000  4 Ag 2.84, 4 Mo 3.12, 4 Sb 3.12
4 Mo 0.2500 0.7500 0.5000  4 Sb 2.84, 8 Ag 3.12


(3)
First-principles (PBE-GGA) data for TaBeIn after structural relaxation, as listed in Alexandria via LeMat-Bulk.

Properties
Its final energy is -5.8263 eV per atom. The calculation puts the energy above the most stable polymorph in this dataset at 0.000 eV/atom. Its formation energy is 279.4 meV per atom. Its total magnetization is 0.00 μB/atom.

Lattice parameters (Å, degrees): 5.8698 5.7175 3.0565 77.48 71.97 30.55
Last column: nearest neighbours and their distance in Å.
Positions (direct):
1 Ta 0.6451 0.6451 0.3549  2 Be 2.46
2 In 0.3500 0.3500 0.6500  2 Be 2.56
3 Be 0.0050 0.0050 0.9950  2 Ta 2.46, 2 In 2.56